Below is a relaxed Sr2UP3Pt4 crystal, with properties calculated at the GGA-PBE level.

Values from the calculation:
The formation energy comes out at -0.74 eV/atom. Its space group is P-4m2 (115). For the total energy, the calculation gives -62.5 eV for the cell shown. The calculation puts the magnetization at 0.275 μB/atom.

a = 4.204 Å, b = 4.204 Å, c = 11.378 Å
α = 90.00°, β = 90.00°, γ = 90.00°
Fractional coordinates of all 10 atoms:
Sr1 0.500 0.000 0.225
Sr2 0.000 0.500 0.775
U1 0.500 0.500 0.500
P1 0.000 0.000 0.500
P2 0.500 0.000 0.883
P3 0.000 0.500 0.117
Pt1 0.500 0.500 0.000
Pt2 0.000 0.000 0.000
Pt3 0.500 0.000 0.673
Pt4 0.000 0.500 0.327